[1]
9
Lattice="5.776 0.000 0.000 -2.888 5.002 0.000 0.000 0.000 5.100" Properties=species:S:1:pos:R:3 comment="PrRePbO6 (GGA-PBE, relaxed)" e_form_raw_ev_per_atom=-1.937 vol_a3_per_cell=147 spacegroup="No. 143" dft_energy_ev_per_atom=-7.569 pbc="T T T"
Pr 0.000 0.000 0.000
Re 0.000 3.335 0.009
Pb 2.888 1.667 2.559
O -1.571 3.360 4.024
O -0.758 1.958 1.090
O -0.813 4.679 1.090
O 0.764 1.961 4.024
O 0.808 4.683 4.024
O 1.571 3.367 1.090

=====

[2]
3
Lattice="4.096 0.000 0.000 -2.048 3.547 0.000 0.000 0.000 4.499" Properties=species:S:1:pos:R:3 comment="BeCdSb (GGA-PBE, relaxed)" e_form_raw_ev_per_atom=0.274 vol_a3_per_cell=65 spacegroup="No. 156" dft_energy_ev_per_atom=-2.647 e_above_lowest_polymorph_kj_per_mol_atoms=7.8 pbc="T T T"
Be 0.000 0.000 0.000
Cd 2.048 1.182 1.694
Sb 0.000 2.365 3.892

=====

Repeat the second record exactly.
3
Lattice="4.096 0.000 0.000 -2.048 3.547 0.000 0.000 0.000 4.499" Properties=species:S:1:pos:R:3 comment="BeCdSb (GGA-PBE, relaxed)" e_form_raw_ev_per_atom=0.274 vol_a3_per_cell=65 spacegroup="No. 156" dft_energy_ev_per_atom=-2.647 e_above_lowest_polymorph_kj_per_mol_atoms=7.8 pbc="T T T"
Be 0.000 0.000 0.000
Cd 2.048 1.182 1.694
Sb 0.000 2.365 3.892

=====

Which formula does entry 2 have? BeCdSb